{"formula": "Sc2Ag2Pd", "functional": "PBE-GGA", "state": "optimized geometry", "space_group": "P4/mbm (127)", "magmom_total_mub_per_cell": 0.000, "total_energy_ev_per_fu": -24.25, "lattice_angstrom": [[-3.140, 2.699, 6.370], [-1.520, -7.094, 2.257], [3.098, -0.157, 1.594]], "species": ["Sc", "Sc", "Sc", "Sc", "Pd", "Pd", "Ag", "Ag", "Ag", "Ag"], "frac_coords": [[0.336, 0.836, 0.000], [0.836, 0.664, 0.000], [0.664, 0.164, 0.000], [0.164, 0.336, 0.000], [0.000, 0.000, 0.000], [0.500, 0.500, 0.000], [0.134, 0.634, 0.500], [0.634, 0.866, 0.500], [0.866, 0.366, 0.500], [0.366, 0.134, 0.500]]}

{"formula": "KHfAl3", "functional": "PBE-GGA", "state": "optimized geometry", "space_group": "Pm-3m (221)", "magmom_total_mub_per_cell": 0.971, "total_energy_ev_per_fu": -19.19, "lattice_angstrom": [[5.404, 0.000, 0.000], [0.000, 5.404, 0.000], [0.000, 0.000, 5.404]], "species": ["K", "Hf", "Al", "Al", "Al"], "frac_coords": [[0.500, 0.500, 0.500], [0.000, 0.000, 0.000], [0.000, 0.500, 0.000], [0.000, 0.000, 0.500], [0.500, 0.000, 0.000]]}

{"formula": "Na2BiRh", "functional": "PBE-GGA", "state": "optimized geometry", "space_group": "I-42d (122)", "magmom_total_mub_per_cell": 0.000, "total_energy_ev_per_fu": -13.39, "lattice_angstrom": [[4.087, 0.000, 0.000], [0.000, 4.087, 0.000], [2.043, 2.043, 10.984]], "species": ["Na", "Na", "Na", "Na", "Rh", "Rh", "Bi", "Bi"], "frac_coords": [[0.608, 0.125, 0.250], [0.142, 0.625, 0.250], [0.375, 0.392, 0.750], [0.875, 0.858, 0.750], [0.500, 0.500, 0.000], [0.250, 0.750, 0.500], [0.000, 0.000, 0.000], [0.750, 0.250, 0.500]]}

{"formula": "InPtSe", "functional": "PBE-GGA", "state": "optimized geometry", "space_group": "Pm (6)", "magmom_total_mub_per_cell": 0.000, "raw_formation_energy_mev_per_atom": -229, "lattice_angstrom": [[-0.962, -2.046, -3.175], [5.240, 0.987, -2.218], [1.075, -5.516, 3.226]], "species": ["In", "In", "Pt", "Pt", "Se", "Se"], "frac_coords": [[0.396, 0.729, 0.158], [0.396, 0.229, 0.657], [0.896, 0.442, 0.948], [0.896, 0.942, 0.448], [0.896, 0.592, 0.606], [0.896, 0.092, 0.106]]}

{"formula": "TePb", "functional": "PBE-GGA", "state": "optimized geometry", "space_group": "P6_3mc (186)", "magmom_total_mub_per_cell": 0.000, "raw_formation_energy_mev_per_atom": -256, "lattice_angstrom": [[4.600, 0.000, 0.000], [-2.300, 3.984, 0.000], [0.000, 0.000, 10.156]], "species": ["Te", "Te", "Pb", "Pb"], "frac_coords": [[0.333, 0.667, 0.485], [0.667, 0.333, 0.985], [0.333, 0.667, 0.139], [0.667, 0.333, 0.639]]}

{"formula": "PmErPa", "functional": "PBE-GGA", "state": "optimized geometry", "space_group": "P4/nmm (129)", "magmom_total_mub_per_cell": 0.000, "total_energy_ev_per_fu": -17.97, "lattice_angstrom": [[-0.786, -0.037, -4.581], [3.597, -2.883, -0.594], [-5.192, -6.672, 0.945]], "species": ["Pa", "Pa", "Er", "Er", "Pm", "Pm"], "frac_coords": [[0.000, 0.000, 0.000], [0.500, 0.500, 0.000], [0.000, 0.500, 0.721], [0.500, 0.000, 0.279], [0.000, 0.500, 0.309], [0.500, 0.000, 0.691]]}

{"formula": "Sm4Dy2Tl3H2", "functional": "PBE-GGA", "state": "optimized geometry", "space_group": "I4/mmm (139)", "magmom_total_mub_per_cell": 0.000, "total_energy_ev_per_fu": -44.85, "lattice_angstrom": [[4.795, 0.000, 0.000], [0.000, 4.795, 0.000], [-2.398, -2.398, 12.500]], "species": ["Sm", "Sm", "Sm", "Sm", "Dy", "Dy", "Tl", "Tl", "Tl", "H", "H"], "frac_coords": [[0.414, 0.914, 0.828], [0.914, 0.414, 0.828], [0.086, 0.586, 0.172], [0.586, 0.086, 0.172], [0.301, 0.301, 0.601], [0.699, 0.699, 0.399], [0.000, 0.000, 0.000], [0.176, 0.176, 0.352], [0.824, 0.824, 0.648], [0.394, 0.394, 0.788], [0.606, 0.606, 0.212]]}

{"formula": "TcBi2Ir2", "functional": "PBE-GGA", "state": "optimized geometry", "space_group": "I4/mmm (139)", "magmom_total_mub_per_cell": 0.000, "total_energy_ev_per_fu": -32.05, "lattice_angstrom": [[3.517, 0.000, 0.000], [0.000, 3.517, 0.000], [1.758, 1.758, 8.659]], "species": ["Ir", "Ir", "Bi", "Bi", "Tc"], "frac_coords": [[0.750, 0.250, 0.500], [0.250, 0.750, 0.500], [0.404, 0.404, 0.192], [0.596, 0.596, 0.808], [0.000, 0.000, 0.000]]}